# LiNd4Tl2, optimized geometry, DFT PBE
data_LiNd4Tl2
_chemical_formula_sum 'Li3 Nd12 Tl6'
_symmetry_space_group_name_H-M 'R -3 m'
_symmetry_Int_Tables_number 166
_symmetry_space_group_name_Hall '-R 3 2"'
_cell_length_a 5.4395
_cell_length_b 5.4395
_cell_length_c 25.4417
_cell_angle_alpha 90.00
_cell_angle_beta 90.00
_cell_angle_gamma 120.00
loop_
_atom_site_label
_atom_site_type_symbol
_atom_site_fract_x
_atom_site_fract_y
_atom_site_fract_z
Li1 Li 0.0000 0.0000 0.0000
Nd1 Nd 0.0000 0.0000 0.1342
Nd2 Nd 0.0000 0.0000 0.3910
Tl1 Tl 0.0000 0.0000 0.2629
# * crystal system: trigonal
# * calculated formation energy: -15.8 kJ per mole of atoms
# * uncorrected energy: -3.838 eV/atom
# * offset from the most stable computed form: 0 meV/atom